A geometry-optimized LiZn2Au2 structure, computed with PBE.

a b c (Å): 5.6287 5.6287 5.6287
angles (deg): 130.87 130.87 72.02
Closest atoms and distances in Å follow each position.
Fractional coordinates of all 5 atoms:
Li 0.0000 0.0000 0.0000  8 Au 3.26, 10 Zn 3.35-3.52
Zn 0.3673 0.3673 0.0000  1 Zn 2.42, 4 Au 2.57
Zn 0.6327 0.6327 0.0000  1 Zn 2.42, 4 Au 2.57
Au 0.2500 0.7500 0.5000  4 Zn 2.57
Au 0.7500 0.2500 0.5000  4 Zn 2.57

Results
DFT total energy (eV/atom): -2.370
E_form (eV/f.u.): -0.832

A geometry-optimized Li3Zn6Au structure, computed with PBE.

a b c (Å): 6.9109 6.9109 6.9109
angles (deg): 101.82 101.82 101.82
Closest atoms and distances in Å follow each position.
Fractional coordinates of all 20 atoms:
Li 0.0724 0.3347 0.3363  7 Zn 2.69-2.99, 2 Au 2.80-2.83, 2 Li 2.82
Li 0.3347 0.3363 0.0724  7 Zn 2.69-2.99, 2 Au 2.80-2.83, 2 Li 2.82
Li 0.3363 0.0724 0.3347  7 Zn 2.69-2.99, 2 Au 2.80-2.83, 2 Li 2.82
Li 0.6637 0.9276 0.6653  7 Zn 2.69-2.99, 2 Au 2.80-2.83, 2 Li 2.82
Li 0.6653 0.6637 0.9276  7 Zn 2.69-2.99, 2 Au 2.80-2.83, 2 Li 2.82
Li 0.9276 0.6653 0.6637  7 Zn 2.69-2.99, 2 Au 2.80-2.83, 2 Li 2.82
Zn 0.0998 0.1029 0.6748  5 Zn 2.49-2.75, 1 Au 2.67
Zn 0.1029 0.6748 0.0998  5 Zn 2.49-2.75, 1 Au 2.67
Zn 0.2444 0.5011 0.7563  6 Zn 2.63-2.92, 4 Li 2.69-2.80, 1 Au 2.75
Zn 0.2437 0.7556 0.4989  6 Zn 2.63-2.92, 4 Li 2.69-2.80, 1 Au 2.75
Zn 0.3252 0.9002 0.8971  5 Zn 2.49-2.75, 1 Au 2.67
Zn 0.4989 0.2437 0.7556  6 Zn 2.63-2.92, 4 Li 2.69-2.80, 1 Au 2.75
Zn 0.5011 0.7563 0.2444  6 Zn 2.63-2.92, 4 Li 2.69-2.80, 1 Au 2.75
Zn 0.6748 0.0998 0.1029  5 Zn 2.49-2.75, 1 Au 2.67
Zn 0.7563 0.2444 0.5011  6 Zn 2.63-2.92, 4 Li 2.69-2.80, 1 Au 2.75
Zn 0.7556 0.4989 0.2437  6 Zn 2.63-2.92, 4 Li 2.69-2.80, 1 Au 2.75
Zn 0.8971 0.3252 0.9002  5 Zn 2.49-2.75, 1 Au 2.67
Zn 0.9002 0.8971 0.3252  5 Zn 2.49-2.75, 1 Au 2.67
Au 0.0000 0.0000 0.0000  6 Zn 2.67, 6 Li 2.80
Au 0.5000 0.5000 0.5000  6 Zn 2.75, 6 Li 2.83

Results
DFT total energy (eV/atom): -1.888
E_form (eV/f.u.): -2.220